Record 1
Here is a geometry-optimized La5Sm2Tm3 structure from Alexandria. Energies are from GGA-PBE.

a = 9.245 Å, b = 9.245 Å, c = 10.174 Å
α = 108.53°, β = 108.53°, γ = 107.46°
Sites, in units of the cell vectors:
La (0.023, 0.977, 0.750)
La (0.130, 0.369, 0.751)
La (0.231, 0.769, 0.750)
La (0.273, 0.727, 0.250)
La (0.369, 0.130, 0.251)
La (0.631, 0.870, 0.749)
La (0.727, 0.273, 0.750)
La (0.769, 0.231, 0.250)
La (0.870, 0.631, 0.249)
La (0.977, 0.023, 0.250)
Sm (0.224, 0.465, 0.439)
Sm (0.465, 0.224, 0.939)
Sm (0.535, 0.776, 0.061)
Sm (0.776, 0.535, 0.561)
Tm (0.034, 0.281, 0.058)
Tm (0.281, 0.034, 0.558)
Tm (0.480, 0.520, 0.250)
Tm (0.520, 0.480, 0.750)
Tm (0.719, 0.966, 0.442)
Tm (0.966, 0.719, 0.942)

## Properties
Its theoretical density is 7.13 Mg/m³. The calculation puts the total DFT energy (no corrections) at -45.87 eV per formula unit. For the spin magnetization, the calculation gives 0.00 μB per cell.

Record 2
Here is a geometry-optimized Ca2H2Rh structure from Alexandria. Energies are from GGA-PBE.

a = 3.474 Å, b = 3.474 Å, c = 13.076 Å
α = 90.00°, β = 90.00°, γ = 90.00°
Sites, in units of the cell vectors:
Ca (0.000, 0.000, 0.144)
Ca (0.000, 0.000, 0.856)
Ca (0.500, 0.500, 0.356)
Ca (0.500, 0.500, 0.644)
H (0.000, 0.500, 0.250)
H (0.000, 0.500, 0.750)
H (0.500, 0.000, 0.250)
H (0.500, 0.000, 0.750)
Rh (0.000, 0.000, 0.500)
Rh (0.500, 0.500, 0.000)

## Properties
Its theoretical density is 3.89 Mg/m³. The polymorph energy (0 for the lowest one) is 198.6 meV/atom. The calculation puts the total DFT energy (no corrections) at -19.64 eV per formula unit. For the spin magnetization, the calculation gives 0.00 μB per cell.

Record 3
Here is a geometry-optimized RbZnCd structure from Alexandria. Energies are from GGA-PBE.

a = 3.935 Å, b = 3.935 Å, c = 12.734 Å
α = 90.00°, β = 90.00°, γ = 90.00°
Sites, in units of the cell vectors:
Rb (0.000, 0.000, 0.000)
Rb (0.500, 0.500, 0.500)
Zn (0.000, 0.000, 0.284)
Zn (0.500, 0.500, 0.784)
Cd (0.000, 0.000, 0.719)
Cd (0.500, 0.500, 0.219)

## Properties
Its theoretical density is 4.44 Mg/m³. The polymorph energy (0 for the lowest one) is 82.5 meV/atom. The calculation puts the total DFT energy (no corrections) at -2.90 eV per formula unit. For the spin magnetization, the calculation gives 0.00 μB per cell.

Record 4
Here is a geometry-optimized CeHoSbAu structure from Alexandria. Energies are from GGA-PBE.

a = 7.466 Å, b = 7.466 Å, c = 7.466 Å
α = 90.00°, β = 90.00°, γ = 90.00°
Sites, in units of the cell vectors:
Ce (0.000, 0.000, 0.000)
Ce (0.000, 0.500, 0.500)
Ce (0.500, 0.000, 0.500)
Ce (0.500, 0.500, 0.000)
Ho (0.000, 0.000, 0.500)
Ho (0.000, 0.500, 0.000)
Ho (0.500, 0.000, 0.000)
Ho (0.500, 0.500, 0.500)
Sb (0.250, 0.250, 0.750)
Sb (0.250, 0.750, 0.250)
Sb (0.750, 0.250, 0.250)
Sb (0.750, 0.750, 0.750)
Au (0.250, 0.250, 0.250)
Au (0.250, 0.750, 0.750)
Au (0.750, 0.250, 0.750)
Au (0.750, 0.750, 0.250)

## Properties
Its theoretical density is 9.96 Mg/m³. The calculation puts the total DFT energy (no corrections) at -20.81 eV per formula unit. For the spin magnetization, the calculation gives 8.56 μB per cell. For the formation energy from raw total energies, the calculation gives -0.725 eV per atom.

Record 5
Here is a geometry-optimized Nd2In2Pd15 structure from Alexandria. Energies are from GGA-PBE.

a = 7.069 Å, b = 7.069 Å, c = 7.069 Å
α = 81.36°, β = 81.36°, γ = 81.36°
Sites, in units of the cell vectors:
Nd (0.149, 0.149, 0.149)
Nd (0.851, 0.851, 0.851)
In (0.397, 0.397, 0.397)
In (0.603, 0.603, 0.603)
Pd (0.000, 0.500, 0.500)
Pd (0.150, 0.150, 0.657)
Pd (0.150, 0.657, 0.150)
Pd (0.195, 0.500, 0.805)
Pd (0.195, 0.805, 0.500)
Pd (0.343, 0.850, 0.850)
Pd (0.500, 0.000, 0.500)
Pd (0.500, 0.195, 0.805)
Pd (0.500, 0.500, 0.000)
Pd (0.500, 0.805, 0.195)
Pd (0.657, 0.150, 0.150)
Pd (0.805, 0.195, 0.500)
Pd (0.805, 0.500, 0.195)
Pd (0.850, 0.343, 0.850)
Pd (0.850, 0.850, 0.343)

## Properties
Its theoretical density is 10.26 Mg/m³. The calculation puts the total DFT energy (no corrections) at -100.77 eV per formula unit. For the spin magnetization, the calculation gives 0.00 μB per cell.

Record 6
Here is a geometry-optimized Ho4Er3Te4 structure from Alexandria. Energies are from GGA-PBE.

a = 10.027 Å, b = 10.027 Å, c = 10.027 Å
α = 157.78°, β = 125.59°, γ = 59.49°
Sites, in units of the cell vectors:
Ho (0.020, 0.835, 0.185)
Ho (0.351, 0.165, 0.185)
Ho (0.649, 0.835, 0.815)
Ho (0.980, 0.165, 0.815)
Er (0.000, 0.500, 0.500)
Er (0.398, 0.398, 0.000)
Er (0.602, 0.602, 0.000)
Te (0.262, 0.762, 0.500)
Te (0.302, 0.000, 0.302)
Te (0.698, 0.000, 0.698)
Te (0.738, 0.238, 0.500)

## Properties
Its theoretical density is 9.00 Mg/m³. The calculation puts the total DFT energy (no corrections) at -54.01 eV per formula unit. For the spin magnetization, the calculation gives 0.48 μB per cell. For the formation energy from raw total energies, the calculation gives -0.859 eV per atom.

Record 7
Here is a geometry-optimized Li2TaIr structure from Alexandria. Energies are from GGA-PBE.

a = 5.252 Å, b = 9.902 Å, c = 2.876 Å
α = 90.00°, β = 121.73°, γ = 90.00°
Sites, in units of the cell vectors:
Li (0.250, 0.250, 0.000)
Li (0.250, 0.750, 0.000)
Li (0.750, 0.250, 0.000)
Li (0.750, 0.750, 0.000)
Ta (0.000, 0.000, 0.500)
Ta (0.500, 0.500, 0.500)
Ir (0.000, 0.500, 0.500)
Ir (0.500, 0.000, 0.500)

## Properties
Its theoretical density is 10.10 Mg/m³. The polymorph energy (0 for the lowest one) is 152.5 meV/atom. The calculation puts the total DFT energy (no corrections) at -24.57 eV per formula unit. For the spin magnetization, the calculation gives 0.00 μB per cell.

Record 8
Here is a geometry-optimized LiTbPa2P4 structure from Alexandria. Energies are from GGA-PBE.

a = 6.754 Å, b = 4.014 Å, c = 6.945 Å
α = 90.00°, β = 110.00°, γ = 90.00°
Sites, in units of the cell vectors:
Li (0.000, 0.000, 0.000)
Tb (0.000, 0.500, 0.500)
Pa (0.500, 0.000, 0.500)
Pa (0.500, 0.500, 0.000)
P (0.256, 0.000, 0.754)
P (0.261, 0.500, 0.252)
P (0.739, 0.500, 0.748)
P (0.744, 0.000, 0.246)

## Properties
Its theoretical density is 7.06 Mg/m³. The calculation puts the total DFT energy (no corrections) at -56.33 eV per formula unit. For the spin magnetization, the calculation gives 0.00 μB per cell.

Record 9
Here is a geometry-optimized DySnI5 structure from Alexandria. Energies are from GGA-PBE.

a = 9.234 Å, b = 4.465 Å, c = 15.037 Å
α = 90.00°, β = 94.69°, γ = 90.00°
Sites, in units of the cell vectors:
Dy (0.092, 0.250, 0.149)
Dy (0.908, 0.750, 0.851)
Sn (0.401, 0.750, 0.367)
Sn (0.599, 0.250, 0.633)
I (0.111, 0.250, 0.797)
I (0.145, 0.250, 0.362)
I (0.176, 0.750, 0.015)
I (0.356, 0.750, 0.571)
I (0.418, 0.250, 0.184)
I (0.582, 0.750, 0.816)
I (0.644, 0.250, 0.429)
I (0.824, 0.250, 0.985)
I (0.855, 0.750, 0.638)
I (0.889, 0.750, 0.203)

## Properties
Its theoretical density is 4.92 Mg/m³. The calculation puts the total DFT energy (no corrections) at -23.11 eV per formula unit. For the spin magnetization, the calculation gives 0.00 μB per cell. For the formation energy from raw total energies, the calculation gives -0.965 eV per atom.

Record 10
Here is a geometry-optimized Na2Y2RhO6 structure from Alexandria. Energies are from GGA-PBE.

a = 5.737 Å, b = 5.737 Å, c = 5.873 Å
α = 97.36°, β = 97.36°, γ = 119.94°
Sites, in units of the cell vectors:
Na (0.145, 0.855, 0.000)
Na (0.855, 0.145, 0.000)
Y (0.337, 0.663, 0.500)
Y (0.663, 0.337, 0.500)
Rh (0.000, 0.000, 0.500)
O (0.043, 0.356, 0.694)
O (0.248, 0.248, 0.298)
O (0.356, 0.043, 0.694)
O (0.644, 0.957, 0.306)
O (0.752, 0.752, 0.702)
O (0.957, 0.644, 0.306)

## Properties
Its theoretical density is 4.33 Mg/m³. The calculation puts the total DFT energy (no corrections) at -76.36 eV per formula unit. For the spin magnetization, the calculation gives 1.05 μB per cell. For the formation energy from raw total energies, the calculation gives -2.154 eV per atom.